An optimized crystal structure of CaMg2P, computed with PBE. Values from VASP.

```
&SYSTEM
  ibrav = 0, nat = 4, ntyp = 3
/
ATOMIC_SPECIES
Ca 40.08 Ca.upf
Mg 24.30 Mg.upf
P 30.97 P.upf
ATOMIC_POSITIONS crystal
Ca 0.2263 0.2263 0.3213
Mg 0.0095 0.0095 0.9689
P 0.4874 0.4874 0.5386
Mg 0.7768 0.7768 0.6711
CELL_PARAMETERS angstrom
4.0840 -0.0306 0.0305
2.0667 3.5226 0.0305
1.9915 1.1306 7.4620
```

Calculated values
DOS at the Fermi energy   1.624 states/eV/f.u.
Crystal system   monoclinic
Energy of formation from the pure elements   -0.378 eV/atom